[1]
A relaxed RbSe crystal. Source: the Alexandria database, functional PBE-GGA.

extended XYZ file:
```
12
Lattice="-2.538 12.148 -8.044 -2.837 -3.056 -3.720 -5.752 1.103 3.481" Properties=species:S:1:pos:R:3 pbc="T T T"
Rb -4.216 4.839 -4.957
Se -1.340 6.088 -3.979
Se -1.911 4.360 -2.124
Rb -2.967 1.103 -2.840
Se -7.474 9.458 -6.266
Rb -4.405 0.845 2.665
Rb -5.693 9.256 -3.262
Rb -4.489 8.389 -7.665
Rb -4.678 4.394 -0.042
Se -4.365 -0.963 -0.077
Se -5.736 1.137 -0.757
Se -2.710 8.188 -4.659
```

Size of the total moment in μB per cell: 2.04
Space-group type: No. 44

[2]
A relaxed RbSe crystal. Source: the Alexandria database, functional PBE-GGA.

extended XYZ file:
```
12
Lattice="9.653 0.000 0.000 0.000 9.653 0.000 0.000 0.000 9.653" Properties=species:S:1:pos:R:3 pbc="T T T"
Rb 0.000 2.413 4.826
Se 0.000 4.826 7.240
Se 4.826 2.413 0.000
Rb 4.826 0.000 2.413
Se 0.000 4.826 2.413
Se 7.240 0.000 4.826
Se 2.413 0.000 4.826
Se 4.826 7.240 0.000
Rb 7.240 4.826 0.000
Rb 4.826 0.000 7.240
Rb 0.000 7.240 4.826
Rb 2.413 4.826 0.000
```

Size of the total moment in μB per cell: 6.00
Space-group type: No. 223

[3]
A relaxed RbSe crystal. Source: the Alexandria database, functional PBE-GGA.

extended XYZ file:
```
16
Lattice="10.299 0.000 0.000 0.000 10.299 0.000 0.000 0.000 10.299" Properties=species:S:1:pos:R:3 pbc="T T T"
Se 1.245 9.054 9.054
Rb 3.194 3.194 3.194
Rb 7.105 7.105 3.194
Se 6.395 6.395 6.395
Rb 8.343 8.343 8.343
Rb 8.343 1.956 1.956
Se 6.395 3.904 3.904
Se 3.904 6.395 3.904
Se 1.245 1.245 1.245
Rb 1.956 1.956 8.343
Se 3.904 3.904 6.395
Se 9.054 1.245 9.054
Rb 7.105 3.194 7.105
Se 9.054 9.054 1.245
Rb 1.956 8.343 1.956
Rb 3.194 7.105 7.105
```

Size of the total moment in μB per cell: 8.02
Space-group type: No. 217

[4]
A relaxed Rb2Se crystal. Source: the Alexandria database, functional PBE-GGA.

extended XYZ file:
```
3
Lattice="4.656 0.000 0.002 0.000 4.656 0.002 -2.326 -2.326 5.166" Properties=species:S:1:pos:R:3 pbc="T T T"
Rb 0.001 0.001 1.604
Rb 2.329 2.329 3.566
Se 2.328 2.328 0.002
```

Size of the total moment in μB per cell: 0.00
Space-group type: No. 139

Number 1: ΔE_f (raw) -794 meV/atom. Number 2: ΔE_f (raw) -308 meV/atom. Number 3: ΔE_f (raw) -378 meV/atom. Number 4: ΔE_f (raw) -903 meV/atom.